Entry 1:
A plane-wave DFT calculation with PBE-GGA was carried out for a relaxed Sc2BiP crystal.

The value obtained for the spin magnetization is 0.000 μB per atom. For the formation energy, the calculation gives -4.08 eV/f.u. The value obtained for the density of states at the Fermi level is 0.835 states/eV/atom. As for the uncorrected energy: -78.1 eV/cell. The volume is 22.61 Å³/atom.

It has space group R3m (No. 160, hexagonal axes), with a = 3.7424 Å, b = 3.7424 Å, c = 22.3720 Å, α = 90.00°, β = 90.00° and γ = 120.00°. Symmetry generates all atoms from Sc at (0.0000, 0.0000, 0.0000), Sc at (0.0000, 0.0000, 0.2061), Bi at (0.0000, 0.0000, 0.4355) and P at (0.0000, 0.0000, 0.6041).

Entry 2:
A plane-wave DFT calculation with PBE-GGA was carried out for a relaxed EuTmGa crystal.

Its energy relative to the lowest polymorph listed for this composition is 0 kJ/mol of formula units. The value obtained for the spin magnetization is 2.436 μB per atom. For the formation energy, the calculation gives -0.94 eV/f.u. The value obtained for the density of states at the Fermi level is 0.953 states/eV/atom. As for the uncorrected energy: -37.4 eV/cell. The volume is 28.28 Å³/atom.

It has space group I4mm (No. 107), with a = 3.6550 Å, b = 3.6550 Å, c = 12.7002 Å, α = 90.00°, β = 90.00° and γ = 90.00°. Symmetry generates all atoms from Eu at (0.0000, 0.0000, 0.0000), Tm at (0.0000, 0.0000, 0.2757) and Ga at (0.0000, 0.0000, 0.6574).